Entry from Alexandria via LeMat-Bulk: an optimized crystal structure of Sm5TmIn6 (GGA-PBE).

Geometry as CIF:
```
data_Sm5TmIn6
_chemical_formula_sum 'Sm10 Tm2 In12'
_symmetry_space_group_name_H-M 'C 1 2/m 1'
_symmetry_Int_Tables_number 12
_cell_length_a 9.3046
_cell_length_b 16.2040
_cell_length_c 5.3984
_cell_angle_alpha 90.00
_cell_angle_beta 125.34
_cell_angle_gamma 90.00
loop_
_symmetry_equiv_pos_as_xyz
'x,y,z'
'-x,-y,-z'
'-x,y,-z'
'x,-y,z'
'x+1/2,y+1/2,z'
'-x+1/2,-y+1/2,-z'
'-x+1/2,y+1/2,-z'
'x+1/2,-y+1/2,z'
loop_
_atom_site_label
_atom_site_fract_x
_atom_site_fract_y
_atom_site_fract_z
Sm1 0.0000 0.0000 0.0000
Sm2 0.0000 0.1651 0.5000
Sm3 0.0000 0.3295 0.0000
Tm1 0.0000 0.5000 0.5000
In1 0.2395 0.5000 0.2397
In2 0.2443 0.3362 0.7443
```

Properties
Formation enthalpy at 0 K (meV/atom): -480.0
Magnetization (μB/atom): 0.00
Total DFT energy (no corrections) (eV per cell): -100.52

Entry from Alexandria via LeMat-Bulk: an optimized crystal structure of Sm6TmIn2 (GGA-PBE).

Geometry as CIF:
```
data_Sm6TmIn2
_chemical_formula_sum 'Sm12 Tm2 In4'
_symmetry_space_group_name_H-M 'C 1 2/m 1'
_symmetry_Int_Tables_number 12
_cell_length_a 12.9497
_cell_length_b 3.7993
_cell_length_c 12.0010
_cell_angle_alpha 90.00
_cell_angle_beta 107.94
_cell_angle_gamma 90.00
loop_
_symmetry_equiv_pos_as_xyz
'x,y,z'
'-x,-y,-z'
'-x,y,-z'
'x,-y,z'
'x+1/2,y+1/2,z'
'-x+1/2,-y+1/2,-z'
'-x+1/2,y+1/2,-z'
'x+1/2,-y+1/2,z'
loop_
_atom_site_label
_atom_site_fract_x
_atom_site_fract_y
_atom_site_fract_z
Sm1 0.0182 0.0000 0.3406
Sm2 0.1810 0.5000 0.8775
Sm3 0.1925 0.5000 0.5904
Tm1 0.0000 0.0000 0.0000
In1 0.1403 0.5000 0.1960
```

Properties
Excess energy over the best structure of this formula in the dataset (eV/atom): 0.0000
Formation enthalpy at 0 K (meV/atom): -197.0
Magnetization (μB/atom): 0.00
Total DFT energy (no corrections) (eV per cell): -80.07

Entry from Alexandria via LeMat-Bulk: an optimized crystal structure of Sm5Tm2In2 (GGA-PBE).

Geometry as CIF:
```
data_Sm5Tm2In2
_chemical_formula_sum 'Sm20 Tm8 In8'
_symmetry_space_group_name_H-M 'I m a 2'
_symmetry_Int_Tables_number 46
_cell_length_a 16.0474
_cell_length_b 10.5545
_cell_length_c 6.6012
_cell_angle_alpha 90.00
_cell_angle_beta 90.00
_cell_angle_gamma 90.00
loop_
_symmetry_equiv_pos_as_xyz
'x,y,z'
'-x,-y,z'
'-x+1/2,y,z'
'x+1/2,-y,z'
'x+1/2,y+1/2,z+1/2'
'-x+1/2,-y+1/2,z+1/2'
'-x,y+1/2,z+1/2'
'x,-y+1/2,z+1/2'
loop_
_atom_site_label
_atom_site_fract_x
_atom_site_fract_y
_atom_site_fract_z
Sm1 0.0560 0.2407 0.0000
Sm2 0.1505 0.6910 0.3572
Sm3 0.2500 0.1159 0.0093
Tm1 0.0000 0.0000 0.6929
Tm2 0.2500 0.0181 0.5138
In1 0.0882 0.5283 0.7462
```

Properties
Formation enthalpy at 0 K (meV/atom): -44.3
Magnetization (μB/atom): 0.00
Total DFT energy (no corrections) (eV per cell): -153.66

Entry from Alexandria via LeMat-Bulk: an optimized crystal structure of SmTm5In4 (GGA-PBE).

Geometry as CIF:
```
data_SmTm5In4
_chemical_formula_sum 'Sm1 Tm5 In4'
_symmetry_space_group_name_H-M 'P 4/m m m'
_symmetry_Int_Tables_number 123
_symmetry_space_group_name_Hall '-P 4 2'
_cell_length_a 3.5296
_cell_length_b 3.5296
_cell_length_c 21.6496
_cell_angle_alpha 90.00
_cell_angle_beta 90.00
_cell_angle_gamma 90.00
loop_
_atom_site_label
_atom_site_fract_x
_atom_site_fract_y
_atom_site_fract_z
Sm1 0.0000 0.0000 0.0000
Tm1 0.5000 0.5000 0.1164
Tm2 0.5000 0.5000 0.3078
Tm3 0.5000 0.5000 0.5000
In1 0.0000 0.0000 0.2121
In2 0.0000 0.0000 0.4039
```

Properties
Formation enthalpy at 0 K (meV/atom): -350.2
Magnetization (μB/atom): 0.00
Total DFT energy (no corrections) (eV per cell): -41.53

Entry from Alexandria via LeMat-Bulk: an optimized crystal structure of SmTm3In3 (GGA-PBE).

Geometry as CIF:
```
data_SmTm3In3
_chemical_formula_sum 'Sm4 Tm12 In12'
_symmetry_space_group_name_H-M 'P 21 3'
_symmetry_Int_Tables_number 198
_symmetry_space_group_name_Hall 'P 2ac 2ab 3'
_cell_length_a 9.2588
_cell_length_b 9.2588
_cell_length_c 9.2588
_cell_angle_alpha 90.00
_cell_angle_beta 90.00
_cell_angle_gamma 90.00
loop_
_atom_site_label
_atom_site_fract_x
_atom_site_fract_y
_atom_site_fract_z
Sm1 0.0499 0.4501 0.5499
Tm1 0.1171 0.6171 0.8829
Tm2 0.1680 0.1680 0.1680
Tm3 0.1991 0.8009 0.3009
In1 0.0056 0.7991 0.6008
```

Properties
Excess energy over the best structure of this formula in the dataset (eV/atom): 0.0428
Formation enthalpy at 0 K (meV/atom): -304.8
Magnetization (μB/atom): 0.00
Total DFT energy (no corrections) (eV per cell): -113.93

Entry from Alexandria via LeMat-Bulk: an optimized crystal structure of Sm4Tm2In (GGA-PBE).

Geometry as CIF:
```
data_Sm4Tm2In
_chemical_formula_sum 'Sm12 Tm6 In3'
_symmetry_space_group_name_H-M 'R -3 m'
_symmetry_Int_Tables_number 166
_symmetry_space_group_name_Hall '-R 3 2"'
_cell_length_a 5.5665
_cell_length_b 5.5665
_cell_length_c 24.1744
_cell_angle_alpha 90.00
_cell_angle_beta 90.00
_cell_angle_gamma 120.00
loop_
_atom_site_label
_atom_site_fract_x
_atom_site_fract_y
_atom_site_fract_z
Sm1 0.0000 0.0000 0.0675
Sm2 0.0000 0.0000 0.2123
Tm1 0.0000 0.0000 0.3591
In1 0.0000 0.0000 0.5000
```

Properties
Excess energy over the best structure of this formula in the dataset (eV/atom): 0.0636
Formation enthalpy at 0 K (meV/atom): -28.5
Magnetization (μB/atom): 0.00
Total DFT energy (no corrections) (eV per cell): -92.27